Here is an optimized crystal structure of Be2InAg from OQMD via LeMat-Bulk. Energies are from PBE.

a = 4.394 Å, b = 4.394 Å, c = 4.394 Å
α = 60.00°, β = 60.00°, γ = 60.00°
Fractional positions:
In: 0.500 0.500 0.500
Be: 0.750 0.750 0.750
Be: 0.000 0.000 0.000
Ag: 0.250 0.250 0.250

Results
calculated total energy	-2.6837	eV per atom